[1]
Here is a relaxed structure of Zn2GaPd from the Alexandria database. Energies are from PBE-GGA.

abc: 6.6100 6.6452 8.6249
angles: 140.71 90.00 90.00
Sites, in units of the cell vectors:
Zn 0.2501 0.2034 0.7503
Zn 0.2499 0.7965 0.7496
Zn 0.7501 0.2966 0.7497
Zn 0.7499 0.7966 0.2497
Zn 0.7501 0.2035 0.2504
Zn 0.7499 0.7035 0.7504
Zn 0.2501 0.2965 0.2496
Zn 0.2499 0.7034 0.2503
Ga 0.5473 0.2500 0.0000
Ga 0.0473 0.2500 0.5000
Ga 0.4527 0.7500 0.0000
Ga 0.9527 0.7500 0.5000
Pd 0.9512 0.2500 0.0000
Pd 0.5488 0.7500 0.5000
Pd 0.0488 0.7500 0.0000
Pd 0.4512 0.2500 0.5000

## Properties
The formation energy comes out at -0.293 eV/atom. Its space group is C2/c (15). Its density is 8.5 g/cm³.

[2]
Here is a relaxed structure of Zn2GaPd from the Alexandria database. Energies are from PBE-GGA.

abc: 2.9354 2.9354 8.5288
angles: 89.13 89.13 59.84
Sites, in units of the cell vectors:
Zn 0.9631 0.9631 0.7659
Zn 0.2866 0.2866 0.2341
Ga 0.6254 0.6254 0.5000
Pd 0.6248 0.6248 0.0000

## Properties
The formation energy comes out at -0.221 eV/atom. Its space group is C2/m (12). Its density is 8.0 g/cm³.

[3]
Here is a relaxed structure of Zn2GaPd from the Alexandria database. Energies are from PBE-GGA.

abc: 3.9492 3.8767 3.8767
angles: 90.00 90.00 90.00
Sites, in units of the cell vectors:
Zn 0.0000 0.0000 0.5000
Zn 0.0000 0.5000 0.0000
Ga 0.5000 0.0000 0.0000
Pd 0.5000 0.5000 0.5000

## Properties
The formation energy comes out at -0.283 eV/atom. Its space group is P4/mmm (123). Its density is 8.6 g/cm³.